[1]
# PBE CuAgPb2, relaxed
# - Total DFT energy (no corrections): -0.1240 hartree per atom
# - D(E_F): 4.78 states/eV per cell
# - Size of the total moment: 0.0 μB per formula unit
# - Polymorph energy (0 for the lowest one): 80 meV/atom
data_CuAgPb2
_chemical_formula_sum 'Cu4 Ag4 Pb8'
_cell_length_a 7.174
_cell_length_b 7.174
_cell_length_c 7.174
_cell_angle_alpha 90.00
_cell_angle_beta 90.00
_cell_angle_gamma 90.00
_symmetry_space_group_name_H-M 'F m -3 m'
_symmetry_Int_Tables_number 225
_symmetry_space_group_name_Hall '-F 4 2 3'
loop_
_atom_site_label
_atom_site_fract_x
_atom_site_fract_y
_atom_site_fract_z
_atom_site_occupancy
Cu1 0.000 0.000 0.000 1
Ag1 0.000 0.000 0.500 1
Pb1 0.250 0.250 0.250 1

***

[2]
# PBE CuAgPb2, relaxed
# - Total DFT energy (no corrections): -0.1221 hartree per atom
# - D(E_F): 3.88 states/eV per cell
# - Size of the total moment: 0.0 μB per formula unit
# - Polymorph energy (0 for the lowest one): 132 meV/atom
data_CuAgPb2
_chemical_formula_sum 'Cu2 Ag2 Pb4'
_cell_length_a 4.293
_cell_length_b 4.293
_cell_length_c 10.045
_cell_angle_alpha 90.00
_cell_angle_beta 90.00
_cell_angle_gamma 90.00
_symmetry_space_group_name_H-M 'I -4 m 2'
_symmetry_Int_Tables_number 119
_symmetry_space_group_name_Hall 'I -4 -2'
loop_
_atom_site_label
_atom_site_fract_x
_atom_site_fract_y
_atom_site_fract_z
_atom_site_occupancy
Cu1 0.000 0.000 0.000 1
Ag1 0.000 0.500 0.250 1
Pb1 0.000 0.000 0.500 1
Pb2 0.000 0.500 0.750 1

***

[3]
# PBE CuAgPb, relaxed
# - Total DFT energy (no corrections): -0.1214 hartree per atom
# - D(E_F): 1.12 states/eV per cell
# - Size of the total moment: 0.0 μB per formula unit
# - Polymorph energy (0 for the lowest one): 98 meV/atom
data_CuAgPb
_chemical_formula_sum 'Cu1 Ag1 Pb1'
_cell_length_a 4.5934
_cell_length_b 4.5934
_cell_length_c 3.3888
_cell_angle_alpha 90.00
_cell_angle_beta 90.00
_cell_angle_gamma 120.00
_symmetry_space_group_name_H-M 'P 3 m 1'
_symmetry_Int_Tables_number 156
loop_
_symmetry_equiv_pos_as_xyz
'x,y,z'
'-y,x-y,z'
'-x+y,-x,z'
'-y,-x,z'
'-x+y,y,z'
'x,x-y,z'
loop_
_atom_site_label
_atom_site_fract_x
_atom_site_fract_y
_atom_site_fract_z
_atom_site_occupancy
Cu1 0.0000 0.0000 0.0000 1
Ag1 0.3333 0.6667 0.9669 1
Pb1 0.6667 0.3333 0.4738 1